Entry 1:
DFT (GGA-PBEsol) results for an optimized crystal structure of Re2MoW.

POSCAR file:
```
Re2MoW
1.0
2.696 -0.003 0.000
-0.907 2.539 0.000
0.000 0.000 8.800
Mo Re W
1 2 1
Cartesian
0.894 1.268 0.000
0.000 0.000 2.194
0.000 0.000 6.605
0.894 1.268 4.400
```

Space-group type ... Cmmm (65)
Excess energy over the best structure of this formula in the dataset ... 0 meV/atom
DFT formation energy ... 0.471 eV/f.u.

Entry 2:
DFT (GGA-PBEsol) results for an optimized crystal structure of ReMo2W.

POSCAR file:
```
ReMo2W
1.0
3.838 0.000 0.000
0.000 3.838 0.000
-1.919 -1.919 4.177
Mo Re W
2 1 1
Cartesian
1.919 0.000 2.089
0.000 1.919 2.089
1.919 1.919 0.000
0.000 0.000 0.000
```

Space-group type ... I4/mmm (139)
Excess energy over the best structure of this formula in the dataset ... 301 meV/atom
DFT formation energy ... 1.296 eV/f.u.

Entry 3:
DFT (GGA-PBEsol) results for an optimized crystal structure of ReMo2W.

POSCAR file:
```
ReMo2W
1.0
-1.934 1.897 -0.359
-1.909 -1.955 -0.047
-0.876 0.657 8.199
Mo Re W
2 1 1
Cartesian
-0.001 0.001 0.009
-2.153 0.145 1.965
-0.436 0.327 4.082
-2.567 0.455 5.837
```

Space-group type ... P4mm (99)
Excess energy over the best structure of this formula in the dataset ... 272 meV/atom
DFT formation energy ... 1.181 eV/f.u.

no.,total DFT energy (no corrections) (eV per formula unit)
1,-51.77
2,-49.38
3,-49.49